Record 1
This record from Alexandria via LeMat-Bulk describes a crystal of Pm2CoRu relaxed with PBEsol. The functional is meta-GGA SCAN.

energy of formation: -0.14 eV/atom
uncorrected energy: -35.17 eV/atom
calculated density: 9.51 g/cm³
SG: No. 225
N(E_F): 2.1 states/eV per cell

abc: 4.8073 4.8073 4.8073
angles: 60.00 60.00 60.00
Last column: nearest neighbours and their distance in Å.
Atoms (fractional coordinates):
Pm 0.2500 0.2500 0.2500  4 Co 2.94, 4 Ru 2.94
Pm 0.7500 0.7500 0.7500  4 Co 2.94, 4 Ru 2.94
Ru 0.5000 0.5000 0.5000  8 Pm 2.94
Co 0.0000 0.0000 0.0000  8 Pm 2.94

=====

Record 2
This record from Alexandria via LeMat-Bulk describes a crystal of Pr3Co relaxed with PBEsol. The functional is meta-GGA SCAN.

energy of formation: 0.03 eV/atom
uncorrected energy: -36.79 eV/atom
calculated density: 7.32 g/cm³
SG: No. 62
N(E_F): 18.5 states/eV per cell

abc: 6.3616 7.0101 9.8043
angles: 90.00 90.00 90.00
Last column: nearest neighbours and their distance in Å.
Atoms (fractional coordinates):
Pr 0.6459 0.9548 0.7500  2 Co 2.73-2.90
Co 0.0652 0.1161 0.7500  6 Pr 2.73-2.90
Pr 0.1742 0.8314 0.5690  2 Co 2.76-2.86
Pr 0.6742 0.6686 0.0690  2 Co 2.76-2.86
Pr 0.8258 0.1686 0.0690  2 Co 2.76-2.86
Pr 0.6742 0.6686 0.4310  2 Co 2.76-2.86
Pr 0.3541 0.0452 0.2500  2 Co 2.73-2.90
Pr 0.3258 0.3314 0.5690  2 Co 2.76-2.86
Pr 0.1742 0.8314 0.9310  2 Co 2.76-2.86
Pr 0.8258 0.1686 0.4310  2 Co 2.76-2.86
Co 0.4348 0.6161 0.7500  6 Pr 2.73-2.90
Co 0.9348 0.8839 0.2500  6 Pr 2.73-2.90
Pr 0.8541 0.4548 0.7500  2 Co 2.73-2.90
Pr 0.3258 0.3314 0.9310  2 Co 2.76-2.86
Pr 0.1459 0.5452 0.2500  2 Co 2.73-2.90
Co 0.5652 0.3839 0.2500  6 Pr 2.73-2.90

=====

Record 3
This record from Alexandria via LeMat-Bulk describes a crystal of Pr5Co2 relaxed with PBEsol. The functional is meta-GGA SCAN.

energy of formation: 0.03 eV/atom
uncorrected energy: -35.86 eV/atom
calculated density: 7.41 g/cm³
SG: No. 15
N(E_F): 14.1 states/eV per cell

abc: 6.4166 6.9918 8.8665
angles: 95.79 111.21 90.00
Last column: nearest neighbours and their distance in Å.
Atoms (fractional coordinates):
Co 0.1871 0.4247 0.7816  6 Pr 2.71-2.89
Pr 0.3560 0.1793 0.5728  2 Co 2.75-2.89
Pr 0.9893 0.9149 0.1888  2 Co 2.71-2.81
Pr 0.1995 0.4149 0.1888  2 Co 2.71-2.81
Pr 0.4296 0.7500 0.0000  4 Co 2.88-2.89
Co 0.8129 0.5753 0.2184  6 Pr 2.71-2.89
Pr 0.7832 0.3207 0.4272  2 Co 2.75-2.89
Pr 0.6440 0.8207 0.4272  2 Co 2.75-2.89
Co 0.5945 0.9247 0.7816  6 Pr 2.71-2.89
Pr 0.5704 0.2500 0.0000  4 Co 2.88-2.89
Pr 0.0107 0.0851 0.8112  2 Co 2.71-2.81
Pr 0.2168 0.6793 0.5728  2 Co 2.75-2.89
Pr 0.8005 0.5851 0.8112  2 Co 2.71-2.81
Co 0.4055 0.0753 0.2184  6 Pr 2.71-2.89